(1)
# La4Tb15Th

La4Tb15Th after structural relaxation (PBE-GGA, Alexandria via LeMat-Bulk).

It has space group P4/mmm (No. 123), with a = 5.109 Å, b = 5.109 Å, c = 25.324 Å, α = 90.00°, β = 90.00° and γ = 90.00°. The inequivalent atoms are La at (0.000, 0.000, 0.100), La at (0.000, 0.000, 0.301), Tb at (0.000, 0.500, 0.000), Tb at (0.000, 0.500, 0.201), Tb at (0.000, 0.500, 0.404), Tb at (0.500, 0.500, 0.101), Tb at (0.500, 0.500, 0.302), Tb at (0.500, 0.500, 0.500) and Th at (0.000, 0.000, 0.500).

The value obtained for the total magnetization is 0.0 μB/cell. The calculation puts the calculated volume at 33.1 Å³/atom. The calculation puts the formation enthalpy at 0 K at 0.0271 eV/atom.



(2)
# NdCu12

NdCu12 after structural relaxation (PBE-GGA, Alexandria via LeMat-Bulk).

It has space group I4/mmm (No. 139), with a = 8.528 Å, b = 8.528 Å, c = 4.874 Å, α = 90.00°, β = 90.00° and γ = 90.00°. The inequivalent atoms are Nd at (0.000, 0.000, 0.000), Cu at (0.000, 0.228, 0.500), Cu at (0.000, 0.356, 0.000) and Cu at (0.250, 0.250, 0.250).

The value obtained for the total magnetization is 0.0 μB/cell. The calculation puts the calculated volume at 13.6 Å³/atom. The calculation puts the formation enthalpy at 0 K at -0.0675 eV/atom.



(3)
# BaTePdO6

BaTePdO6 after structural relaxation (PBE-GGA, Alexandria via LeMat-Bulk).

It has space group P312 (No. 149), with a = 5.3074 Å, b = 5.3074 Å, c = 5.8750 Å, α = 90.00°, β = 90.00° and γ = 120.00°. The inequivalent atoms are Ba at (0.0000, 0.0000, 0.0000), Te at (0.6667, 0.3333, 0.5000), Pd at (0.3333, 0.6667, 0.5000) and O at (0.3823, 0.0103, 0.6897).

The value obtained for the total magnetization is 0.0 μB/cell. The calculation puts the raw formation energy at -130.86 kJ/mol of atoms. The calculation puts the calculated volume at 15.9 Å³/atom.



(4)
# SrTb2Te

SrTb2Te after structural relaxation (PBE-GGA, Alexandria via LeMat-Bulk).

It has space group R-3m (No. 166, hexagonal axes), with a = 3.9961 Å, b = 3.9961 Å, c = 33.2519 Å, α = 90.00°, β = 90.00° and γ = 120.00°. The inequivalent atoms are Sr at (0.0000, 0.0000, 0.0000), Tb at (0.0000, 0.0000, 0.1080) and Te at (0.0000, 0.0000, 0.5000).

The value obtained for the total magnetization is 0.0 μB/cell. The calculation puts the raw formation energy at -31.95 kJ/mol of atoms. The calculation puts the calculated volume at 38.3 Å³/atom.